1.
DFT (PBE) results for a relaxed PmBiRhAu crystal.

Cell and atoms, written as CIF:
```
data_PmBiRhAu
_cell_length_a 7.100
_cell_length_b 7.100
_cell_length_c 7.100
_cell_angle_alpha 90.00
_cell_angle_beta 90.00
_cell_angle_gamma 90.00
_symmetry_space_group_name_H-M 'F -4 3 m'
_symmetry_Int_Tables_number 216
_symmetry_space_group_name_Hall 'F -4 2 3'
loop_
_atom_site_label
_atom_site_type_symbol
_atom_site_fract_x
_atom_site_fract_y
_atom_site_fract_z
Pm1 Pm 0.000 0.000 0.000
Bi1 Bi 0.000 0.000 0.500
Rh1 Rh 0.250 0.250 0.250
Au1 Au 0.250 0.250 0.750
```

## Properties
Final energy, eV/cell: -84.65
Spin magnetization, μB per cell: 0.00
Formation energy, kcal/mol of atoms: -10.97

***

2.
DFT (PBE) results for a relaxed LiTbHoBe crystal.

Cell and atoms, written as CIF:
```
data_LiTbHoBe
_cell_length_a 7.043
_cell_length_b 7.043
_cell_length_c 7.043
_cell_angle_alpha 90.00
_cell_angle_beta 90.00
_cell_angle_gamma 90.00
_symmetry_space_group_name_H-M 'F -4 3 m'
_symmetry_Int_Tables_number 216
_symmetry_space_group_name_Hall 'F -4 2 3'
loop_
_atom_site_label
_atom_site_type_symbol
_atom_site_fract_x
_atom_site_fract_y
_atom_site_fract_z
Li1 Li 0.000 0.000 0.000
Tb1 Tb 0.250 0.250 0.750
Ho1 Ho 0.250 0.250 0.250
Be1 Be 0.000 0.000 0.500
```

## Properties
Final energy, eV/cell: -57.22
Spin magnetization, μB per cell: 0.00
Formation energy, kcal/mol of atoms: 3.13

***

3.
DFT (PBE) results for a relaxed Sr4TaAl crystal.

Cell and atoms, written as CIF:
```
data_Sr4TaAl
_cell_length_a 9.546
_cell_length_b 9.546
_cell_length_c 9.546
_cell_angle_alpha 90.00
_cell_angle_beta 90.00
_cell_angle_gamma 90.00
_symmetry_space_group_name_H-M 'F -4 3 m'
_symmetry_Int_Tables_number 216
_symmetry_space_group_name_Hall 'F -4 2 3'
loop_
_atom_site_label
_atom_site_type_symbol
_atom_site_fract_x
_atom_site_fract_y
_atom_site_fract_z
Sr1 Sr 0.125 0.125 0.125
Ta1 Ta 0.250 0.250 0.750
Al1 Al 0.000 0.000 0.500
```

## Properties
Final energy, eV/cell: -62.36
Spin magnetization, μB per cell: 15.71
Formation energy, kcal/mol of atoms: 25.88

***

4.
DFT (PBE) results for a relaxed Tl3VH crystal.

Cell and atoms, written as CIF:
```
data_Tl3VH
_cell_length_a 5.451
_cell_length_b 5.451
_cell_length_c 5.451
_cell_angle_alpha 90.00
_cell_angle_beta 90.00
_cell_angle_gamma 90.00
_symmetry_space_group_name_H-M 'P m -3 m'
_symmetry_Int_Tables_number 221
_symmetry_space_group_name_Hall '-P 4 2 3'
loop_
_atom_site_label
_atom_site_type_symbol
_atom_site_fract_x
_atom_site_fract_y
_atom_site_fract_z
Tl1 Tl 0.000 0.000 0.500
V1 V 0.000 0.000 0.000
H1 H 0.500 0.500 0.500
```

## Properties
Final energy, eV/cell: -15.37
Spin magnetization, μB per cell: 4.64

***

5.
DFT (PBE) results for a relaxed Pm6YPb crystal.

Cell and atoms, written as CIF:
```
data_Pm6YPb
_cell_length_a 5.003
_cell_length_b 5.003
_cell_length_c 10.356
_cell_angle_alpha 90.00
_cell_angle_beta 90.00
_cell_angle_gamma 90.00
_symmetry_space_group_name_H-M 'P 4/m m m'
_symmetry_Int_Tables_number 123
_symmetry_space_group_name_Hall '-P 4 2'
loop_
_atom_site_label
_atom_site_type_symbol
_atom_site_fract_x
_atom_site_fract_y
_atom_site_fract_z
Pm1 Pm 0.000 0.000 0.000
Pm2 Pm 0.000 0.000 0.500
Pm3 Pm 0.000 0.500 0.244
Y1 Y 0.500 0.500 0.500
Pb1 Pb 0.500 0.500 0.000
```

## Properties
Final energy, eV/cell: -39.82
Spin magnetization, μB per cell: 0.00
Formation energy, kcal/mol of atoms: -3.29

***

6.
DFT (PBE) results for a relaxed PmDy7Er3 crystal.

Cell and atoms, written as CIF:
```
data_PmDy7Er3
_cell_length_a 6.936
_cell_length_b 5.523
_cell_length_c 9.844
_cell_angle_alpha 90.00
_cell_angle_beta 109.80
_cell_angle_gamma 90.00
_symmetry_space_group_name_H-M 'P 1 2/m 1'
_symmetry_Int_Tables_number 10
_symmetry_space_group_name_Hall '-P 2y'
loop_
_atom_site_label
_atom_site_type_symbol
_atom_site_fract_x
_atom_site_fract_y
_atom_site_fract_z
Pm1 Pm 0.000 0.000 0.000
Dy1 Dy 0.000 0.000 0.500
Dy2 Dy 0.147 0.500 0.790
Dy3 Dy 0.325 0.500 0.143
Dy4 Dy 0.423 0.000 0.332
Er1 Er 0.277 0.500 0.497
Er2 Er 0.500 0.000 0.000
```

## Properties
Final energy, eV/cell: -49.08
Spin magnetization, μB per cell: 0.00
Formation energy, kcal/mol of atoms: 3.31